--- one ---
Entry from Alexandria via LeMat-Bulk: crystalline MgMo at its relaxed geometry (PBE).

The value obtained for the density of states at the Fermi level is 1.503 states/eV/f.u.

It has space group Pnma (No. 62), with a = 9.257 Å, b = 4.486 Å, c = 6.713 Å, α = 90.00°, β = 90.00° and γ = 90.00°. The asymmetric unit holds Mg at (0.127, 0.250, 0.247), Mg at (0.129, 0.750, 0.991), Mo at (0.113, 0.250, 0.711) and Mo at (0.123, 0.750, 0.500).


--- two ---
Entry from Alexandria via LeMat-Bulk: crystalline MgMo at its relaxed geometry (PBE).

The value obtained for the density of states at the Fermi level is 1.229 states/eV/f.u.

It has space group P6_3/m (No. 176), with a = 9.8556 Å, b = 9.8556 Å, c = 2.6761 Å, α = 90.00°, β = 90.00° and γ = 120.00°. The asymmetric unit holds Mg at (0.0580, 0.2968, 0.2500) and Mo at (0.1534, 0.6153, 0.2500).


It is two that is the least stable of them.


--- one ---
Entry from Alexandria via LeMat-Bulk: crystalline MgMo at its relaxed geometry (PBE).

The value obtained for the density of states at the Fermi level is 1.394 states/eV/f.u.

It has space group Pmn2_1 (No. 31), with a = 14.698 Å, b = 2.746 Å, c = 5.275 Å, α = 90.00°, β = 90.00° and γ = 90.00°. The asymmetric unit holds Mg at (0.000, 0.173, 0.000), Mg at (0.172, 0.991, 0.778), Mo at (0.000, 0.700, 0.486) and Mo at (0.153, 0.482, 0.293).


--- two ---
Entry from Alexandria via LeMat-Bulk: crystalline MgMo at its relaxed geometry (PBE).

The value obtained for the density of states at the Fermi level is 1.412 states/eV/f.u.

It has space group Pmma (No. 51), with a = 4.644 Å, b = 2.759 Å, c = 5.413 Å, α = 90.00°, β = 90.00° and γ = 90.00°. The asymmetric unit holds Mg at (0.250, 0.000, 0.140) and Mo at (0.250, 0.500, 0.617).


--- three ---
Entry from Alexandria via LeMat-Bulk: crystalline MgMo at its relaxed geometry (PBE).

The value obtained for the density of states at the Fermi level is 2.337 states/eV/f.u.

It has space group Fddd (No. 70, origin choice 2), with a = 7.747 Å, b = 7.821 Å, c = 10.271 Å, α = 90.00°, β = 90.00° and γ = 90.00°. The asymmetric unit holds Mg at (0.125, 0.298, 0.125) and Mo at (0.022, 0.375, 0.875).


--- four ---
Entry from Alexandria via LeMat-Bulk: crystalline MgMo at its relaxed geometry (PBE).

The value obtained for the density of states at the Fermi level is 2.616 states/eV/f.u.

It has space group P6_3/mmc (No. 194), with a = 2.8551 Å, b = 2.8551 Å, c = 9.7912 Å, α = 90.00°, β = 90.00° and γ = 120.00°. The asymmetric unit holds Mg at (0.0000, 0.0000, 0.0000) and Mo at (0.3333, 0.6667, 0.2500).


It is three that is the least stable of them.


--- one ---
Entry from Alexandria via LeMat-Bulk: crystalline MgMo at its relaxed geometry (PBE).

The value obtained for the density of states at the Fermi level is 1.493 states/eV/f.u.

It has space group R-3m (No. 166, hexagonal axes), with a = 2.8816 Å, b = 2.8816 Å, c = 29.6326 Å, α = 90.00°, β = 90.00° and γ = 120.00°. The asymmetric unit holds Mg at (0.0000, 0.0000, 0.1209) and Mo at (0.0000, 0.0000, 0.3722).


--- two ---
Entry from Alexandria via LeMat-Bulk: crystalline MgMo at its relaxed geometry (PBE).

The value obtained for the density of states at the Fermi level is 0.873 states/eV/f.u.

It has space group Imma (No. 74), with a = 3.326 Å, b = 4.840 Å, c = 8.972 Å, α = 90.00°, β = 90.00° and γ = 90.00°. The asymmetric unit holds Mg at (0.000, 0.250, 0.117) and Mo at (0.000, 0.250, 0.651).


--- three ---
Entry from Alexandria via LeMat-Bulk: crystalline MgMo at its relaxed geometry (PBE).

The value obtained for the density of states at the Fermi level is 1.854 states/eV/f.u.

It has space group Pm-3n (No. 223), with a = 7.989 Å, b = 7.989 Å, c = 7.989 Å, α = 90.00°, β = 90.00° and γ = 90.00°. The asymmetric unit holds Mg at (0.000, 0.250, 0.500) and Mo at (0.000, 0.500, 0.250).


It is three that is the least stable of them.


--- one ---
Entry from Alexandria via LeMat-Bulk: crystalline MgMo at its relaxed geometry (PBE).

The value obtained for the density of states at the Fermi level is 1.099 states/eV/f.u.

It has space group P2_1/m (No. 11), with a = 2.763 Å, b = 4.518 Å, c = 5.638 Å, α = 90.00°, β = 98.76° and γ = 90.00°. The asymmetric unit holds Mg at (0.127, 0.250, 0.370) and Mo at (0.414, 0.750, 0.103).


--- two ---
Entry from Alexandria via LeMat-Bulk: crystalline MgMo at its relaxed geometry (PBE).

The value obtained for the density of states at the Fermi level is 1.162 states/eV/f.u.

It has space group F-43m (No. 216), with a = 6.479 Å, b = 6.479 Å, c = 6.479 Å, α = 90.00°, β = 90.00° and γ = 90.00°. The asymmetric unit holds Mg at (0.000, 0.000, 0.000) and Mo at (0.250, 0.250, 0.750).


--- three ---
Entry from Alexandria via LeMat-Bulk: crystalline MgMo at its relaxed geometry (PBE).

The value obtained for the density of states at the Fermi level is 1.535 states/eV/f.u.

It has space group Cm (No. 8), with a = 11.267 Å, b = 2.728 Å, c = 6.946 Å, α = 90.00°, β = 102.10° and γ = 90.00°. The asymmetric unit holds Mg at (0.000, 0.000, 0.000), Mg at (0.062, 0.000, 0.635), Mg at (0.400, 0.000, 0.302), Mo at (0.176, 0.500, 0.328), Mo at (0.232, 0.500, 0.981) and Mo at (0.318, 0.000, 0.666).


It is two that is the least stable of them.


--- one ---
Entry from Alexandria via LeMat-Bulk: crystalline Mg4Mo at its relaxed geometry (PBE).

The value obtained for the density of states at the Fermi level is 5.626 states/eV/f.u.

It has space group Pm-3m (No. 221), with a = 5.189 Å, b = 5.189 Å, c = 5.189 Å, α = 90.00°, β = 90.00° and γ = 90.00°. The asymmetric unit holds Mg at (0.000, 0.000, 0.000), Mg at (0.000, 0.500, 0.500) and Mo at (0.500, 0.500, 0.500).


--- two ---
Entry from Alexandria via LeMat-Bulk: crystalline Mg4Mo at its relaxed geometry (PBE).

The value obtained for the density of states at the Fermi level is 3.920 states/eV/f.u.

It has space group I4/m (No. 87), with a = 6.803 Å, b = 6.803 Å, c = 4.271 Å, α = 90.00°, β = 90.00° and γ = 90.00°. The asymmetric unit holds Mg at (0.105, 0.289, 0.000) and Mo at (0.000, 0.000, 0.500).


It is one that is the least stable of them.


--- one ---
Entry from Alexandria via LeMat-Bulk: crystalline Mg3MoN4 at its relaxed geometry (PBE).

The value obtained for the density of states at the Fermi level is 0.000 states/eV/f.u.

It has space group C2/m (No. 12), with a = 9.247 Å, b = 7.176 Å, c = 6.061 Å, α = 90.00°, β = 90.73° and γ = 90.00°. The asymmetric unit holds Mg at (0.113, 0.000, 0.323), Mg at (0.116, 0.269, 0.831), Mo at (0.172, 0.500, 0.329), N at (0.123, 0.000, 0.684), N at (0.123, 0.276, 0.180) and N at (0.147, 0.500, 0.633).


--- two ---
Entry from Alexandria via LeMat-Bulk: crystalline Mg3MoN4 at its relaxed geometry (PBE).

The value obtained for the density of states at the Fermi level is 0.000 states/eV/f.u.

It has space group Pmn2_1 (No. 31), with a = 6.777 Å, b = 5.861 Å, c = 5.290 Å, α = 90.00°, β = 90.00° and γ = 90.00°. The asymmetric unit holds Mg at (0.000, 0.161, 0.000), Mg at (0.248, 0.331, 0.499), Mo at (0.000, 0.829, 0.491), N at (0.000, 0.136, 0.598), N at (0.000, 0.826, 0.139) and N at (0.231, 0.677, 0.599).


It is one that is the least stable of them.


--- one ---
Entry from Alexandria via LeMat-Bulk: crystalline Mg2MoN2 at its relaxed geometry (PBE).

The value obtained for the density of states at the Fermi level is 1.826 states/eV/f.u.

It has space group I4/mmm (No. 139), with a = 3.927 Å, b = 3.927 Å, c = 7.731 Å, α = 90.00°, β = 90.00° and γ = 90.00°. The asymmetric unit holds Mg at (0.000, 0.000, 0.166), Mo at (0.000, 0.000, 0.500) and N at (0.000, 0.500, 0.250).


--- two ---
Entry from Alexandria via LeMat-Bulk: crystalline Mg2MoN2 at its relaxed geometry (PBE).

The value obtained for the density of states at the Fermi level is 1.636 states/eV/f.u.

It has space group P4/mbm (No. 127), with a = 6.384 Å, b = 6.384 Å, c = 2.765 Å, α = 90.00°, β = 90.00° and γ = 90.00°. The asymmetric unit holds Mg at (0.133, 0.367, 0.000), Mo at (0.000, 0.000, 0.000) and N at (0.177, 0.677, 0.500).


It is two that is the least stable of them.


--- one ---
Entry from Alexandria via LeMat-Bulk: crystalline MgMo2N at its relaxed geometry (PBE).

The value obtained for the density of states at the Fermi level is 4.894 states/eV/f.u.

It has space group Fm-3m (No. 225), with a = 6.028 Å, b = 6.028 Å, c = 6.028 Å, α = 90.00°, β = 90.00° and γ = 90.00°. The asymmetric unit holds Mg at (0.000, 0.000, 0.000), Mo at (0.250, 0.250, 0.250) and N at (0.000, 0.000, 0.500).


--- two ---
Entry from Alexandria via LeMat-Bulk: crystalline MgMo2N at its relaxed geometry (PBE).

The value obtained for the density of states at the Fermi level is 2.414 states/eV/f.u.

It has space group R-3m (No. 166, hexagonal axes), with a = 2.8718 Å, b = 2.8718 Å, c = 24.6853 Å, α = 90.00°, β = 90.00° and γ = 120.00°. The asymmetric unit holds Mg at (0.0000, 0.0000, 0.0000), Mo at (0.0000, 0.0000, 0.1107) and N at (0.0000, 0.0000, 0.5000).


--- three ---
Entry from Alexandria via LeMat-Bulk: crystalline MgMo2N at its relaxed geometry (PBE).

The value obtained for the density of states at the Fermi level is 2.245 states/eV/f.u.

It has space group I-42d (No. 122), with a = 7.075 Å, b = 7.075 Å, c = 4.479 Å, α = 90.00°, β = 90.00° and γ = 90.00°. The asymmetric unit holds Mg at (0.000, 0.000, 0.000), Mo at (0.144, 0.750, 0.625) and N at (0.000, 0.000, 0.500).


It is one that is the least stable of them.